(1)
VASP calculation (SCAN) on a PBEsol-optimized structure of PtBr.

abc: 7.7930 7.7930 7.7930
angles: 27.47 27.47 27.47
With the nearest neighbours (Å) after each atom.
Fractional positions:
Pt  0.1345  0.1345  0.1345  3 Br 2.55, 3 Pt 2.58
Pt  0.8655  0.8655  0.8655  3 Br 2.55, 3 Pt 2.58
Br  0.4058  0.4058  0.4058  3 Pt 2.55
Br  0.5942  0.5942  0.5942  3 Pt 2.55

Properties
Final energy: -45.10 eV/atom
Raw formation energy: -0.27 eV/atom


(2)
VASP calculation (SCAN) on a PBEsol-optimized structure of Pt2Br.

abc: 4.2984 4.2984 4.2984
angles: 60.00 60.00 60.00
With the nearest neighbours (Å) after each atom.
Fractional positions:
Pt  0.2500  0.2500  0.2500  4 Br 2.63
Pt  0.7500  0.7500  0.7500  4 Br 2.63
Br  0.0000  0.0000  0.0000  8 Pt 2.63

Properties
D(E_F): 3.10 states/eV/f.u.
Final energy: -52.02 eV/atom
E above lowest polymorph: 0.849 eV per atom
Raw formation energy: 1.26 eV/atom